# BaMgSc2Ir GGA-PBE relaxed
# **Formation energy from the elements**: -29.2 kJ/mol of atoms
data_BaMgSc2Ir
_chemical_formula_sum 'Ba1 Mg1 Sc2 Ir1'
_space_group_name_H-M_alt 'P 4/m m m'
_space_group_IT_number 123
_space_group_name_Hall '-P 4 2'
_cell_length_a 5.131
_cell_length_b 5.131
_cell_length_c 5.333
_cell_angle_alpha 90.00
_cell_angle_beta 90.00
_cell_angle_gamma 90.00
loop_
_atom_site_label
_atom_site_type_symbol
_atom_site_fract_x
_atom_site_fract_y
_atom_site_fract_z
Ba1 Ba 0.000 0.000 0.000
Mg1 Mg 0.500 0.500 0.000
Sc1 Sc 0.000 0.500 0.500
Ir1 Ir 0.500 0.500 0.500